KCeVWO6: optimized geometry, PBE with a Hubbard U.

Unit cell a=8.027 b=8.027 c=8.027 alpha=90.00 beta=90.00 gamma=90.00
Space group F-43m (No. 216)
One atom of each set of equivalent atoms:
K: 0.000 0.000 0.000 [4 per cell]
Ce: 0.000 0.000 0.500 [4 per cell]
V: 0.250 0.250 0.750 [4 per cell]
W: 0.250 0.250 0.250 [4 per cell]
O: 0.007 0.250 0.250 [24 per cell]

Fermi-level density of states in states/eV per atom: 0.996
Mass density in Mg/m³: 6.549
Electronic total energy in eV/cell: -296.752